No. 1
Compound: CsBa3Cl
Source: the Alexandria database
Functional: GGA-PBE
Structure: relaxed

* polymorph energy (0 for the lowest one): 929 meV/atom

Lattice parameters (Å, degrees): 6.9224 6.9224 6.9224 90.00 90.00 90.00
With the nearest neighbours (Å) after each atom.
Space group Pm-3m (No. 221)
Asymmetric unit:
Cs (0.0000, 0.0000, 0.0000) (multiplicity 1)  6 Ba 3.46
Ba (0.0000, 0.0000, 0.5000) (multiplicity 3)  2 Cs 3.46
Cl (0.5000, 0.5000, 0.5000) (multiplicity 1)  12 Ba 4.89


No. 2
Compound: SmY4Zn
Source: the Alexandria database
Functional: GGA-PBE
Structure: relaxed

* polymorph energy (0 for the lowest one): 0 meV/atom
* ΔE_f: -60.9 kJ/mol of formula units

Lattice parameters (Å, degrees): 3.5852 3.5852 13.8320 90.00 90.00 90.00
With the nearest neighbours (Å) after each atom.
Space group P4/mmm (No. 123)
Asymmetric unit:
Sm (0.0000, 0.0000, 0.0000) (multiplicity 1)  4 Sm 3.59, 8 Y 3.59
Y (0.0000, 0.0000, 0.3725) (multiplicity 2)  4 Zn 3.09
Y (0.5000, 0.5000, 0.1841) (multiplicity 2)  8 Y 3.59-3.64, 4 Sm 3.59
Zn (0.5000, 0.5000, 0.5000) (multiplicity 1)  8 Y 3.09


No. 3
Compound: KMnMo2
Source: the Alexandria database
Functional: GGA-PBE
Structure: relaxed

* polymorph energy (0 for the lowest one): 180 meV/atom
* ΔE_f: 360.4 kJ/mol of formula units

Lattice parameters (Å, degrees): 2.8372 2.8372 31.0263 90.00 90.00 120.00
With the nearest neighbours (Å) after each atom.
Space group R-3m (No. 166, hexagonal axes)
Asymmetric unit:
K (0.0000, 0.0000, 0.0000) (multiplicity 3)  6 K 2.84
Mn (0.0000, 0.0000, 0.5000) (multiplicity 3)  6 Mo 2.59, 6 Mn 2.84
Mo (0.0000, 0.0000, 0.2313) (multiplicity 6)  3 Mn 2.59, 6 Mo 2.84


No. 4
Compound: SnBiAuN
Source: the Alexandria database
Functional: GGA-PBE
Structure: relaxed

* polymorph energy (0 for the lowest one): 50 meV/atom

Lattice parameters (Å, degrees): 5.9678 3.5089 8.4952 90.00 100.38 90.00
With the nearest neighbours (Å) after each atom.
Space group Cm (No. 8)
Asymmetric unit:
Sn (0.0000, 0.0000, 0.0000) (multiplicity 2)  3 N 2.19-2.21
Bi (0.0880, 0.5000, 0.3657) (multiplicity 2)  2 Au 2.87
Au (0.2294, 0.0000, 0.6328) (multiplicity 2)  1 N 2.17
N (0.3062, 0.0000, 0.8920) (multiplicity 2)  1 Au 2.17, 3 Sn 2.19-2.21


No. 5
Compound: Mg2TiWN4
Source: the Alexandria database
Functional: GGA-PBE
Structure: relaxed

* final energy: -8.1515 eV per atom

Lattice parameters (Å, degrees): 5.2068 2.9919 5.4191 90.00 108.43 90.00
With the nearest neighbours (Å) after each atom.
Space group P2/m (No. 10)
Asymmetric unit:
Mg (0.0000, 0.0000, 0.0000) (multiplicity 1)  6 N 2.18-2.21
Mg (0.5000, 0.5000, 0.0000) (multiplicity 1)  6 N 2.18-2.20
Ti (0.0000, 0.5000, 0.5000) (multiplicity 1)  6 N 2.12-2.13
W (0.5000, 0.0000, 0.5000) (multiplicity 1)  6 N 2.10-2.14
N (0.2476, 0.0000, 0.7353) (multiplicity 2)  1 W 2.10, 2 Ti 2.12, 3 Mg 2.20-2.21
N (0.2520, 0.5000, 0.2574) (multiplicity 2)  1 Ti 2.13, 2 W 2.14, 3 Mg 2.18


No. 6
Compound: CrCd2Ni
Source: the Alexandria database
Functional: GGA-PBE
Structure: relaxed

* polymorph energy (0 for the lowest one): 43 meV/atom
* ΔE_f: 96.4 kJ/mol of formula units

Lattice parameters (Å, degrees): 4.1330 4.1330 7.8884 90.00 90.00 90.00
With the nearest neighbours (Å) after each atom.
Space group I4/mmm (No. 139)
Asymmetric unit:
Cr (0.0000, 0.0000, 0.0000) (multiplicity 2)  8 Cd 2.86, 4 Ni 2.92
Cd (0.0000, 0.5000, 0.2500) (multiplicity 4)  4 Cr 2.86, 4 Ni 2.86, 4 Cd 2.92
Ni (0.0000, 0.0000, 0.5000) (multiplicity 2)  8 Cd 2.86, 4 Cr 2.92


No. 7
Compound: Ba6AsSe3Br2
Source: the Alexandria database
Functional: GGA-PBE
Structure: relaxed

* final energy: -4.3408 eV per atom

Lattice parameters (Å, degrees): 8.2255 14.2298 8.2101 90.00 109.47 90.00
With the nearest neighbours (Å) after each atom.
Space group C2/m (No. 12)
Asymmetric unit:
Ba (0.2297, 0.0000, 0.2410) (multiplicity 4)  1 As 3.28, 3 Se 3.30-3.43, 2 Br 3.45
Ba (0.2450, 0.1584, 0.7599) (multiplicity 8)  3 Se 3.26-3.39, 1 As 3.29, 2 Br 3.46
As (0.0000, 0.0000, 0.5000) (multiplicity 2)  6 Ba 3.28-3.29
Se (0.0000, 0.1703, 0.0000) (multiplicity 4)  6 Ba 3.26-3.39
Se (0.0000, 0.5000, 0.0000) (multiplicity 2)  6 Ba 3.26-3.43
Br (0.0000, 0.3339, 0.5000) (multiplicity 4)  6 Ba 3.45-3.46


No. 8
Compound: TlTcRhO6
Source: the Alexandria database
Functional: GGA-PBE
Structure: relaxed

* final energy: -6.4828 eV per atom

Lattice parameters (Å, degrees): 5.3315 5.3315 5.1089 90.00 90.00 120.00
With the nearest neighbours (Å) after each atom.
Space group P312 (No. 149)
Asymmetric unit:
Tl (0.0000, 0.0000, 0.0000) (multiplicity 1)  6 O 2.54
Tc (0.3333, 0.6667, 0.5000) (multiplicity 1)  6 O 1.93
Rh (0.6667, 0.3333, 0.5000) (multiplicity 1)  6 O 2.00
O (0.0101, 0.3898, 0.7059) (multiplicity 6)  1 Tc 1.93, 1 Rh 2.00


D(E_F), record by record: 7.85; 8.58; 13.88; 3.35; 2.33; 3.17; 7.68; 6.41 states/eV/cell